# 1
Er3Cd2Ag4: relaxed, PBE-GGA.

## Properties
The energy comes out at -3.208 eV per atom.

Cell and atoms, written as CIF:
```
data_Er3Cd2Ag4
_space_group_name_H-M_alt 'P 1'
_space_group_IT_number 1
_cell_length_a 5.2728
_cell_length_b 9.0043
_cell_length_c 9.0043
_cell_angle_alpha 76.19
_cell_angle_beta 81.83
_cell_angle_gamma 81.83
loop_
_space_group_symop_operation_xyz
'x,y,z'
loop_
_atom_site_label
_atom_site_fract_x
_atom_site_fract_y
_atom_site_fract_z
_atom_site_occupancy
Er1 0.0836 0.9574 0.7151 1
Er2 0.4164 0.2849 0.0426 1
Er3 0.9164 0.0426 0.2849 1
Er4 0.5836 0.7151 0.9574 1
Er5 0.2500 0.3628 0.6372 1
Er6 0.7500 0.6372 0.3628 1
Cd1 0.1936 0.7331 0.4952 1
Cd2 0.3064 0.5048 0.2669 1
Cd3 0.8064 0.2669 0.5048 1
Cd4 0.6936 0.4952 0.7331 1
Ag1 0.5300 0.0671 0.8233 1
Ag2 0.9700 0.1767 0.9329 1
Ag3 0.4700 0.9329 0.1767 1
Ag4 0.0300 0.8233 0.0671 1
Ag5 0.6395 0.8538 0.5942 1
Ag6 0.8605 0.4058 0.1462 1
Ag7 0.3605 0.1462 0.4058 1
Ag8 0.1395 0.5942 0.8538 1
```


# 2
V2Co21B6: relaxed, PBE-GGA.

## Properties
The energy comes out at -7.404 eV per atom.

Cell and atoms, written as CIF:
```
data_V2Co21B6
_space_group_name_H-M_alt 'P 1'
_space_group_IT_number 1
_cell_length_a 7.3543
_cell_length_b 7.3543
_cell_length_c 7.3543
_cell_angle_alpha 60.00
_cell_angle_beta 60.00
_cell_angle_gamma 60.00
loop_
_space_group_symop_operation_xyz
'x,y,z'
loop_
_atom_site_label
_atom_site_fract_x
_atom_site_fract_y
_atom_site_fract_z
_atom_site_occupancy
V1 0.2500 0.2500 0.2500 1
V2 0.7500 0.7500 0.7500 1
Co1 0.0000 0.0000 0.0000 1
Co2 0.8589 0.3804 0.3804 1
Co3 0.3804 0.8589 0.3804 1
Co4 0.3804 0.3804 0.8589 1
Co5 0.3804 0.3804 0.3804 1
Co6 0.1411 0.6196 0.6196 1
Co7 0.6196 0.1411 0.6196 1
Co8 0.6196 0.6196 0.1411 1
Co9 0.6196 0.6196 0.6196 1
Co10 0.6618 0.0000 0.0000 1
Co11 0.6618 0.0000 0.3382 1
Co12 0.6618 0.3382 0.0000 1
Co13 0.0000 0.6618 0.3382 1
Co14 0.0000 0.6618 0.0000 1
Co15 0.3382 0.6618 0.0000 1
Co16 0.0000 0.3382 0.6618 1
Co17 0.3382 0.0000 0.6618 1
Co18 0.0000 0.0000 0.6618 1
Co19 0.3382 0.0000 0.0000 1
Co20 0.0000 0.3382 0.0000 1
Co21 0.0000 0.0000 0.3382 1
B1 0.7248 0.2752 0.2752 1
B2 0.7248 0.2752 0.7248 1
B3 0.7248 0.7248 0.2752 1
B4 0.2752 0.7248 0.7248 1
B5 0.2752 0.7248 0.2752 1
B6 0.2752 0.2752 0.7248 1
```


# 3
CaIrPt: relaxed, PBE-GGA.

## Properties
The energy comes out at -5.478 eV per atom.

Cell and atoms, written as CIF:
```
data_CaIrPt
_space_group_name_H-M_alt 'P 1'
_space_group_IT_number 1
_cell_length_a 2.9365
_cell_length_b 2.9365
_cell_length_c 7.0901
_cell_angle_alpha 90.00
_cell_angle_beta 90.00
_cell_angle_gamma 120.00
loop_
_space_group_symop_operation_xyz
'x,y,z'
loop_
_atom_site_label
_atom_site_fract_x
_atom_site_fract_y
_atom_site_fract_z
_atom_site_occupancy
Ca1 0.0000 0.0000 0.0020 1
Ir1 0.6667 0.3333 0.3366 1
Pt1 0.3333 0.6667 0.6614 1
```


# 4
U2O5: relaxed, PBE-GGA.

## Properties
The value obtained for the formation energy without anion corrections is -2995.9 meV per atom.

Cell and atoms, written as CIF:
```
data_U2O5
_space_group_name_H-M_alt 'P 1'
_space_group_IT_number 1
_cell_length_a 5.0565
_cell_length_b 5.4138
_cell_length_c 6.8828
_cell_angle_alpha 113.16
_cell_angle_beta 111.55
_cell_angle_gamma 90.00
loop_
_space_group_symop_operation_xyz
'x,y,z'
loop_
_atom_site_label
_atom_site_fract_x
_atom_site_fract_y
_atom_site_fract_z
_atom_site_occupancy
U1 0.3780 0.6310 0.7560 1
U2 0.6220 0.3690 0.2440 1
U3 0.8780 0.1250 0.7560 1
U4 0.1220 0.8750 0.2440 1
O1 0.0845 0.2144 0.1689 1
O2 0.9155 0.7856 0.8311 1
O3 0.5845 0.9546 0.1689 1
O4 0.4155 0.0454 0.8311 1
O5 0.4780 0.7280 0.4561 1
O6 0.0220 0.2720 0.5439 1
O7 0.5220 0.2720 0.5439 1
O8 0.9780 0.7280 0.4561 1
O9 0.7500 0.5000 0.0000 1
O10 0.2500 0.5000 0.0000 1
```